# 1
# Ga2AsF

A relaxed structure of Ga2AsF (GGA-PBE, the Alexandria database).

Properties
- ΔE to the lowest computed polymorph: 46.3 meV per atom
- Energy relative to the elements, uncorrected: -0.626 eV per atom
- E: -30.154 eV per cell
- DOS at the Fermi energy: 1.9 states/eV/cell
- Space-group type: I-42d, No. 122

Unit cell a=7.6288 b=7.6288 c=7.6288 alpha=142.82 beta=142.82 gamma=53.60
Last column: nearest neighbours and their distance in Å.
Positions (direct):
Ga 0.0609 0.6250 0.9359  2 F 2.28
Ga 0.3750 0.3109 0.4359  2 F 2.28
Ga 0.6891 0.1250 0.0641  2 F 2.28
Ga 0.8750 0.9391 0.5641  2 F 2.28
As 0.2500 0.7500 0.5000  4 Ga 2.59
As 0.5000 0.5000 0.0000  4 Ga 2.59
F 0.0000 0.0000 0.0000  4 Ga 2.28
F 0.7500 0.2500 0.5000  4 Ga 2.28

***

# 2
# LaSnW3

A relaxed structure of LaSnW3 (GGA-PBE, the Alexandria database).

Properties
- ΔE to the lowest computed polymorph: 0.0 meV per atom
- E: -37.635 eV per cell
- DOS at the Fermi energy: 6.7 states/eV/cell
- Space-group type: Pm-3m, No. 221

Unit cell a=5.0100 b=5.0100 c=5.0100 alpha=90.00 beta=90.00 gamma=90.00
Last column: nearest neighbours and their distance in Å.
Positions (direct):
La 0.0000 0.0000 0.0000  12 W 3.54
Sn 0.5000 0.5000 0.5000  6 W 2.50
W 0.0000 0.5000 0.5000  2 Sn 2.50
W 0.5000 0.0000 0.5000  2 Sn 2.50
W 0.5000 0.5000 0.0000  2 Sn 2.50

***

# 3
# CsAg2Pd

A relaxed structure of CsAg2Pd (GGA-PBE, the Alexandria database).

Properties
- ΔE to the lowest computed polymorph: 0.0 meV per atom
- E: -11.791 eV per cell
- DOS at the Fermi energy: 1.7 states/eV/cell
- Space-group type: Cm, No. 8

Unit cell a=4.8065 b=4.8065 c=6.5708 alpha=103.64 beta=103.64 gamma=59.99
Last column: nearest neighbours and their distance in Å.
Positions (direct):
Cs 0.0000 0.0000 0.0000  2 Pd 3.27-3.56, 1 Ag 3.48
Ag 0.2280 0.2280 0.5288  3 Ag 2.77-2.78, 3 Pd 2.78-2.81
Ag 0.5546 0.5546 0.5031  3 Ag 2.77-2.78, 3 Pd 2.77-2.78
Pd 0.8826 0.8826 0.4823  6 Ag 2.77-2.81

***

# 4
# Ti4Ni6Rh7

A relaxed structure of Ti4Ni6Rh7 (GGA-PBE, the Alexandria database).

Properties
- E: -122.806 eV per cell
- DOS at the Fermi energy: 19.9 states/eV/cell
- Space-group type: Im-3m, No. 229

Unit cell a=6.7481 b=6.7481 c=6.7481 alpha=109.47 beta=109.47 gamma=109.47
Last column: nearest neighbours and their distance in Å.
Positions (direct):
Ti 0.0000 0.0000 0.5000  6 Rh 2.75, 6 Ni 2.78
Ti 0.0000 0.5000 0.0000  6 Rh 2.75, 6 Ni 2.78
Ti 0.5000 0.0000 0.0000  6 Rh 2.75, 6 Ni 2.78
Ti 0.5000 0.5000 0.5000  6 Rh 2.75, 6 Ni 2.78
Ni 0.0000 0.2977 0.2977  5 Rh 2.32-2.51
Ni 0.0000 0.7023 0.7023  5 Rh 2.32-2.51
Ni 0.2977 0.0000 0.2977  5 Rh 2.32-2.51
Ni 0.2977 0.2977 0.0000  5 Rh 2.32-2.51
Ni 0.7023 0.0000 0.7023  5 Rh 2.32-2.51
Ni 0.7023 0.7023 0.0000  5 Rh 2.32-2.51
Rh 0.0000 0.0000 0.0000  6 Ni 2.32
Rh 0.2500 0.5000 0.7500  4 Ni 2.51, 4 Rh 2.75, 4 Ti 2.75
Rh 0.2500 0.7500 0.5000  4 Ni 2.51, 4 Rh 2.75, 4 Ti 2.75
Rh 0.5000 0.2500 0.7500  4 Ni 2.51, 4 Rh 2.75, 4 Ti 2.75
Rh 0.5000 0.7500 0.2500  4 Ni 2.51, 4 Rh 2.75, 4 Ti 2.75
Rh 0.7500 0.2500 0.5000  4 Ni 2.51, 4 Rh 2.75, 4 Ti 2.75
Rh 0.7500 0.5000 0.2500  4 Ni 2.51, 4 Rh 2.75, 4 Ti 2.75

***

# 5
# LiH12Pt4

A relaxed structure of LiH12Pt4 (GGA-PBE, the Alexandria database).

Properties
- E: -67.532 eV per cell
- DOS at the Fermi energy: 8.3 states/eV/cell
- Space-group type: Im-3, No. 204

Unit cell a=5.8291 b=5.8291 c=5.8291 alpha=109.47 beta=109.47 gamma=109.47
Last column: nearest neighbours and their distance in Å.
Positions (direct):
Li 0.0000 0.0000 0.0000  12 H 2.42
H 0.0842 0.2928 0.7914  2 Pt 1.73
H 0.2086 0.5014 0.2928  2 Pt 1.73
H 0.2086 0.9158 0.7072  2 Pt 1.73
H 0.2928 0.2086 0.5014  2 Pt 1.73
H 0.2928 0.7914 0.0842  2 Pt 1.73
H 0.4986 0.7072 0.7914  2 Pt 1.73
H 0.5014 0.2928 0.2086  2 Pt 1.73
H 0.7072 0.2086 0.9158  2 Pt 1.73
H 0.7072 0.7914 0.4986  2 Pt 1.73
H 0.7914 0.0842 0.2928  2 Pt 1.73
H 0.7914 0.4986 0.7072  2 Pt 1.73
H 0.9158 0.7072 0.2086  2 Pt 1.73
Pt 0.0000 0.0000 0.5000  6 H 1.73
Pt 0.0000 0.5000 0.0000  6 H 1.73
Pt 0.5000 0.0000 0.0000  6 H 1.73
Pt 0.5000 0.5000 0.5000  6 H 1.73

***

What did the fifth record say?
# LiH12Pt4

A relaxed structure of LiH12Pt4 (GGA-PBE, the Alexandria database).

Properties
- E: -67.532 eV per cell
- DOS at the Fermi energy: 8.3 states/eV/cell
- Space-group type: Im-3, No. 204

Unit cell a=5.8291 b=5.8291 c=5.8291 alpha=109.47 beta=109.47 gamma=109.47
Last column: nearest neighbours and their distance in Å.
Positions (direct):
Li 0.0000 0.0000 0.0000  12 H 2.42
H 0.0842 0.2928 0.7914  2 Pt 1.73
H 0.2086 0.5014 0.2928  2 Pt 1.73
H 0.2086 0.9158 0.7072  2 Pt 1.73
H 0.2928 0.2086 0.5014  2 Pt 1.73
H 0.2928 0.7914 0.0842  2 Pt 1.73
H 0.4986 0.7072 0.7914  2 Pt 1.73
H 0.5014 0.2928 0.2086  2 Pt 1.73
H 0.7072 0.2086 0.9158  2 Pt 1.73
H 0.7072 0.7914 0.4986  2 Pt 1.73
H 0.7914 0.0842 0.2928  2 Pt 1.73
H 0.7914 0.4986 0.7072  2 Pt 1.73
H 0.9158 0.7072 0.2086  2 Pt 1.73
Pt 0.0000 0.0000 0.5000  6 H 1.73
Pt 0.0000 0.5000 0.0000  6 H 1.73
Pt 0.5000 0.0000 0.0000  6 H 1.73
Pt 0.5000 0.5000 0.5000  6 H 1.73

***

Among the records above, which one has the lowest DOS at the Fermi energy?
CsAg2Pd